Density functional theory data (PBE) for SmThCdSn after structural relaxation.

Computed properties:
ΔH_f (0 K): -359.7 meV/atom
Energy: -0.3399 Ry/atom

Cell and atoms, written as extended XYZ:
```
4
Lattice="5.4343 0.0000 0.0000 2.7171 4.7062 0.0000 2.7171 1.5687 4.4371" Properties=species:S:1:pos:R:3 pbc="T T T"
Cd 0.0000 0.0000 0.0000
Sm 8.1514 4.7062 3.3278
Th 2.7171 1.5687 1.1093
Sn 5.4343 3.1375 2.2185
```